<a>
Density functional theory data (GGA+U) for an optimized crystal structure of CrBrF.

Geometry as CIF:
```
data_CrBrF
_chemical_formula_sum 'Cr1 Br1 F1'
_symmetry_space_group_name_H-M 'P 3 m 1'
_symmetry_Int_Tables_number 156
_symmetry_space_group_name_Hall 'P 3 -2"'
_cell_length_a 3.6096
_cell_length_b 3.6096
_cell_length_c 5.5388
_cell_angle_alpha 90.00
_cell_angle_beta 90.00
_cell_angle_gamma 120.00
loop_
_atom_site_label
_atom_site_type_symbol
_atom_site_fract_x
_atom_site_fract_y
_atom_site_fract_z
_atom_site_occupancy
Cr1 Cr 0.0000 0.0000 0.0000 1
Br1 Br 0.6667 0.3333 0.2936 1
F1 F 0.3333 0.6667 0.8557 1
```


<b>
Density functional theory data (GGA+U) for an optimized crystal structure of CrBrF.

Geometry as CIF:
```
data_CrBrF
_chemical_formula_sum 'Cr2 Br2 F2'
_symmetry_space_group_name_H-M 'P 1 21/m 1'
_symmetry_Int_Tables_number 11
_symmetry_space_group_name_Hall '-P 2yb'
_cell_length_a 3.953
_cell_length_b 5.616
_cell_length_c 5.624
_cell_angle_alpha 90.00
_cell_angle_beta 90.02
_cell_angle_gamma 90.00
loop_
_atom_site_label
_atom_site_type_symbol
_atom_site_fract_x
_atom_site_fract_y
_atom_site_fract_z
_atom_site_occupancy
Cr1 Cr 0.001 0.250 0.251 1
Br1 Br 0.000 0.250 0.750 1
F1 F 0.499 0.750 0.749 1
```


Stability ranking, top entry: <b>; the second entry is 241 meV/atom less favorable.


<a>
Density functional theory data (GGA+U) for an optimized crystal structure of CrBrN2F.

Geometry as CIF:
```
data_CrBrN2F
_chemical_formula_sum 'Cr1 Br1 N2 F1'
_symmetry_space_group_name_H-M 'P 4/m m m'
_symmetry_Int_Tables_number 123
_symmetry_space_group_name_Hall '-P 4 2'
_cell_length_a 3.846
_cell_length_b 3.846
_cell_length_c 4.831
_cell_angle_alpha 90.00
_cell_angle_beta 90.00
_cell_angle_gamma 90.00
loop_
_atom_site_label
_atom_site_type_symbol
_atom_site_fract_x
_atom_site_fract_y
_atom_site_fract_z
_atom_site_occupancy
Cr1 Cr 0.000 0.000 0.000 1
Br1 Br 0.500 0.500 0.500 1
N1 N 0.000 0.500 0.500 1
F1 F 0.500 0.500 0.000 1
```


<b>
Density functional theory data (GGA+U) for an optimized crystal structure of CrBrN2F.

Geometry as CIF:
```
data_CrBrN2F
_chemical_formula_sum 'Cr1 Br1 N2 F1'
_symmetry_space_group_name_H-M 'P 4/m m m'
_symmetry_Int_Tables_number 123
_symmetry_space_group_name_Hall '-P 4 2'
_cell_length_a 4.053
_cell_length_b 4.053
_cell_length_c 3.935
_cell_angle_alpha 90.00
_cell_angle_beta 90.00
_cell_angle_gamma 90.00
loop_
_atom_site_label
_atom_site_type_symbol
_atom_site_fract_x
_atom_site_fract_y
_atom_site_fract_z
_atom_site_occupancy
Cr1 Cr 0.000 0.000 0.000 1
Br1 Br 0.500 0.500 0.500 1
N1 N 0.000 0.500 0.000 1
F1 F 0.000 0.000 0.500 1
```


Stability ranking, top entry: <b>; the second entry is 970 meV/atom less favorable.